This record from Alexandria via LeMat-Bulk describes a relaxed Mg2BeCu crystal. The functional is PBE-GGA.

Unit cell a=8.807 b=8.807 c=8.807 alpha=18.97 beta=18.97 gamma=18.97
Sites, in units of the cell vectors:
Mg 0.249 0.249 0.249
Mg 0.751 0.751 0.751
Be 0.500 0.500 0.500
Cu 0.000 0.000 0.000

Results
- Space-group type: R-3m
- Magnetic moment: 0.00 μB per formula unit
- Energy of formation from the pure elements: 126 kJ/mol of formula units

---

This record from Alexandria via LeMat-Bulk describes a relaxed MgBe2Cu crystal. The functional is PBE-GGA.

Unit cell a=3.892 b=3.892 c=3.111 alpha=90.00 beta=90.00 gamma=90.00
Sites, in units of the cell vectors:
Mg 0.000 0.000 0.000
Be 0.000 0.500 0.500
Be 0.500 0.000 0.500
Cu 0.500 0.500 0.000

Results
- Space-group type: P4/mmm
- Magnetic moment: 0.00 μB per formula unit
- Energy of formation from the pure elements: 80 kJ/mol of formula units

---

This record from Alexandria via LeMat-Bulk describes a relaxed MgBeCu crystal. The functional is PBE-GGA.

Unit cell a=4.765 b=4.765 c=4.765 alpha=120.44 beta=117.39 gamma=91.91
Sites, in units of the cell vectors:
Mg 0.372 0.122 0.250
Mg 0.628 0.878 0.750
Be 0.000 0.000 0.500
Be 0.000 0.500 0.000
Cu 0.000 0.500 0.500
Cu 0.500 0.500 0.000

Results
- Space-group type: Imma
- Magnetic moment: 0.00 μB per formula unit
- Energy of formation from the pure elements: -29 kJ/mol of formula units

---

This record from Alexandria via LeMat-Bulk describes a relaxed Mg2BeCu crystal. The functional is PBE-GGA.

Unit cell a=4.658 b=4.658 c=4.658 alpha=128.86 beta=128.86 gamma=75.23
Sites, in units of the cell vectors:
Mg 0.000 0.000 0.000
Mg 0.750 0.250 0.500
Be 0.250 0.750 0.500
Cu 0.500 0.500 0.000

Results
- Space-group type: I-4m2
- Magnetic moment: 0.00 μB per formula unit
- Energy of formation from the pure elements: 72 kJ/mol of formula units

---

This record from Alexandria via LeMat-Bulk describes a relaxed Mg2BeCu crystal. The functional is PBE-GGA.

Unit cell a=2.980 b=2.980 c=6.815 alpha=90.00 beta=90.00 gamma=90.00
Sites, in units of the cell vectors:
Mg 0.000 0.000 0.244
Mg 0.000 0.000 0.756
Be 0.500 0.500 0.000
Cu 0.500 0.500 0.500

Results
- Space-group type: P4/mmm
- Magnetic moment: 0.00 μB per formula unit
- Energy of formation from the pure elements: 51 kJ/mol of formula units

---

This record from Alexandria via LeMat-Bulk describes a relaxed Mg2Be15Cu2 crystal. The functional is PBE-GGA.

Unit cell a=5.734 b=5.734 c=5.734 alpha=83.09 beta=83.09 gamma=83.09
Sites, in units of the cell vectors:
Mg 0.153 0.153 0.153
Mg 0.847 0.847 0.847
Be 0.000 0.500 0.500
Be 0.159 0.159 0.660
Be 0.159 0.660 0.159
Be 0.203 0.500 0.797
Be 0.203 0.797 0.500
Be 0.340 0.841 0.841
Be 0.500 0.000 0.500
Be 0.500 0.203 0.797
Be 0.500 0.500 0.000
Be 0.500 0.797 0.203
Be 0.660 0.159 0.159
Be 0.797 0.203 0.500
Be 0.797 0.500 0.203
Be 0.841 0.340 0.841
Be 0.841 0.841 0.340
Cu 0.393 0.393 0.393
Cu 0.607 0.607 0.607

Results
- Space-group type: R-3m
- Magnetic moment: 0.00 μB per formula unit
- Energy of formation from the pure elements: 13 kJ/mol of formula units

---

This record from Alexandria via LeMat-Bulk describes a relaxed Mg2Be2Cu crystal. The functional is PBE-GGA.

Unit cell a=8.562 b=8.562 c=8.562 alpha=160.14 beta=160.14 gamma=28.24
Sites, in units of the cell vectors:
Mg 0.107 0.107 0.000
Mg 0.893 0.893 0.000
Be 0.250 0.750 0.500
Be 0.750 0.250 0.500
Cu 0.500 0.500 0.000

Results
- Space-group type: I4/mmm
- Magnetic moment: 0.00 μB per formula unit
- Energy of formation from the pure elements: 120 kJ/mol of formula units

---

This record from Alexandria via LeMat-Bulk describes a relaxed MgBeCu crystal. The functional is PBE-GGA.

Unit cell a=4.992 b=4.992 c=4.992 alpha=145.58 beta=145.58 gamma=49.47
Sites, in units of the cell vectors:
Mg 0.000 0.000 0.000
Be 0.697 0.697 0.000
Cu 0.302 0.302 0.000

Results
- Space-group type: I4mm
- Magnetic moment: 0.00 μB per formula unit
- Energy of formation from the pure elements: 9 kJ/mol of formula units

---

We obtain theoretical density values of 3.19, 3.73, 4.14, 3.37, 3.32, 2.80, 2.98, 4.06 g cm⁻³ for the records listed above, in that order.